Below is Y2ErCo9 after structural relaxation, with properties calculated at the PBE level.

```
data_Y2ErCo9
_symmetry_space_group_name_H-M 'P 1'
_symmetry_Int_Tables_number 1
_cell_length_a 8.6203
_cell_length_b 8.6203
_cell_length_c 8.6203
_cell_angle_alpha 33.51
_cell_angle_beta 33.51
_cell_angle_gamma 33.51
loop_
_symmetry_equiv_pos_as_xyz
'x,y,z'
loop_
_atom_site_label
_atom_site_type_symbol
_atom_site_fract_x
_atom_site_fract_y
_atom_site_fract_z
_atom_site_occupancy
Y1 Y 0.1395 0.1395 0.1395 1
Y2 Y 0.8605 0.8605 0.8605 1
Er1 Er 0.0000 0.0000 0.0000 1
Co1 Co 0.0787 0.5817 0.5817 1
Co2 Co 0.3346 0.3346 0.3346 1
Co3 Co 0.4183 0.4183 0.9213 1
Co4 Co 0.4183 0.9213 0.4183 1
Co5 Co 0.5000 0.5000 0.5000 1
Co6 Co 0.5817 0.0787 0.5817 1
Co7 Co 0.5817 0.5817 0.0787 1
Co8 Co 0.6654 0.6654 0.6654 1
Co9 Co 0.9213 0.4183 0.4183 1
```

Values from the calculation:
- Total magnetization: 10.5 μB per formula unit
- Energy: -6.96 eV per atom
- Space group: R-3m
- Calculated formation energy: -0.17 eV per atom